Entry from Alexandria via LeMat-Bulk: a relaxed structure of CuPtI2 (PBE).

Output
Final energy in eV/atom: -2.53
Magnetization in μB/f.u.: 0.000

Unit cell a=7.162 b=7.162 c=7.162 alpha=90.00 beta=90.00 gamma=90.00
Space group Fm-3m (No. 225)
Inequivalent atoms, fractional coordinates:
Cu (0.000, 0.000, 0.000)
Pt (0.000, 0.000, 0.500)
I (0.250, 0.250, 0.250)